First-principles (PBE) data for K2Ca2Si after structural relaxation, as listed in Alexandria via LeMat-Bulk.

Computed properties:
* formation energy (no corrections): 77 meV/atom
* symmetry: No. 127
* total moment: 0.0 μB per cell
* V: 438.96 Å³/cell
* final energy: -2.247 eV per atom
* N(E_F): 0.06 states/eV/atom

Cell: 7.9556 7.9556 6.9354 Å, 90.00 90.00 90.00°
Closest atoms and distances in Å follow each position.
Fractional positions:
Ca: 0.1747 0.3253 0.0000  2 Si 2.94
Ca: 0.8253 0.6747 0.0000  2 Si 2.94
Ca: 0.3253 0.8253 0.0000  2 Si 2.94
Ca: 0.6747 0.1747 0.0000  2 Si 2.94
K: 0.8158 0.3158 0.5000  2 Ca 3.81, 5 K 4.11-4.15
K: 0.3158 0.1842 0.5000  2 Ca 3.81, 5 K 4.11-4.15
K: 0.1842 0.6842 0.5000  2 Ca 3.81, 5 K 4.11-4.15
K: 0.6842 0.8158 0.5000  2 Ca 3.81, 5 K 4.11-4.15
Si: 0.0000 0.0000 0.0000  4 Ca 2.94
Si: 0.5000 0.5000 0.0000  4 Ca 2.94


First-principles (PBE) data for CsCo4 after structural relaxation, as listed in Alexandria via LeMat-Bulk.

Computed properties:
* symmetry: No. 221
* total moment: 4.3 μB per cell
* V: 100.16 Å³/cell
* DFT formation energy: 266 kJ per mole of atoms
* final energy: -3.097 eV per atom
* N(E_F): 1.44 states/eV/atom

Cell: 4.6440 4.6440 4.6440 Å, 90.00 90.00 90.00°
Closest atoms and distances in Å follow each position.
Fractional positions:
Co: 0.5000 0.5000 0.0000  2 Cs 2.32
Co: 0.0000 0.0000 0.0000  12 Co 3.28
Co: 0.0000 0.5000 0.5000  2 Cs 2.32
Co: 0.5000 0.0000 0.5000  2 Cs 2.32
Cs: 0.5000 0.5000 0.5000  6 Co 2.32


First-principles (PBE) data for BaSnAs2Au after structural relaxation, as listed in Alexandria via LeMat-Bulk.

Computed properties:
* symmetry: No. 12
* total moment: 0.0 μB per cell
* V: 300.98 Å³/cell
* DFT formation energy: -41 kJ per mole of atoms
* final energy: -4.125 eV per atom
* N(E_F): 0.22 states/eV/atom

Cell: 4.8566 7.2888 9.2451 Å, 101.99 90.00 109.46°
Closest atoms and distances in Å follow each position.
Fractional positions:
Sn: 0.9529 0.9059 0.7898  3 As 2.70-2.75
Sn: 0.0471 0.0941 0.2102  3 As 2.70-2.75
Au: 0.6381 0.2762 0.0695  3 As 2.66-2.71
Au: 0.3619 0.7238 0.9305  3 As 2.66-2.71
Ba: 0.3185 0.6371 0.2909  4 As 3.33-3.56, 1 Au 3.51, 1 Sn 3.64
Ba: 0.6815 0.3629 0.7091  4 As 3.33-3.56, 1 Au 3.51, 1 Sn 3.64
As: 0.1447 0.2894 0.9424  1 Sn 2.70, 3 Au 2.71-3.01
As: 0.8553 0.7106 0.0576  1 Sn 2.70, 3 Au 2.71-3.01
As: 0.3960 0.7920 0.6581  1 Au 2.66, 2 Sn 2.75
As: 0.6040 0.2080 0.3419  1 Au 2.66, 2 Sn 2.75


First-principles (PBE) data for Ta2Nb after structural relaxation, as listed in Alexandria via LeMat-Bulk.

Computed properties:
* symmetry: No. 139
* total moment: 0.0 μB per cell
* V: 55.91 Å³/cell
* DFT formation energy: 15 kJ per mole of atoms
* final energy: -11.104 eV per atom
* N(E_F): 1.27 states/eV/atom
* relative energy among the computed polymorphs: 0.1655 eV per atom

Cell: 2.7865 2.7865 7.4648 Å, 100.76 100.76 90.00°
Closest atoms and distances in Å follow each position.
Fractional positions:
Ta: 0.6683 0.6683 0.3365  8 Ta 2.79-3.07
Ta: 0.3317 0.3317 0.6635  8 Ta 2.79-3.07
Nb: 0.0000 0.0000 0.0000  4 Nb 2.79